A relaxed structure of ErZr2ScAs4, computed with PBE-GGA.

Values from the calculation:
* volume: 170.5 Å³/cell
* energy relative to the elements: -10.2 eV per formula unit
* magnetic moment: 0.000 Bohr magnetons per cell

a = 3.9001 Å, b = 6.7607 Å, c = 6.8505 Å
α = 109.27°, β = 90.00°, γ = 90.00°
Closest atoms and distances in Å follow each position.
Positions (direct):
Zr 0.0000 0.5000 0.5000  6 As 2.78
Zr 0.5000 0.0000 0.5000  6 As 2.74
As 0.5000 0.7548 0.7483  3 Zr 2.74-2.78, 2 Sc 2.76, 1 Er 2.81
As 0.0000 0.2427 0.7442  3 Zr 2.74-2.78, 1 Sc 2.77, 2 Er 2.81
As 0.5000 0.2452 0.2517  3 Zr 2.74-2.78, 2 Sc 2.76, 1 Er 2.81
As 0.0000 0.7573 0.2558  3 Zr 2.74-2.78, 1 Sc 2.77, 2 Er 2.81
Er 0.5000 0.5000 0.0000  6 As 2.81
Sc 0.0000 0.0000 0.0000  6 As 2.76-2.77